Record 1
Crystalline Cd2SiAg at its relaxed geometry, computed with PBE. Values from VASP.

Structure (Quantum ESPRESSO input):
```
&SYSTEM
  ibrav = 0, nat = 4, ntyp = 3
/
ATOMIC_SPECIES
Cd 112.41 Cd.upf
Si 28.09 Si.upf
Ag 107.87 Ag.upf
CELL_PARAMETERS angstrom
2.921 0.000 0.000
0.000 4.011 0.000
0.000 0.000 6.756
ATOMIC_POSITIONS angstrom
Cd 0.000 0.000 0.000
Cd 1.461 2.006 1.912
Si 0.000 0.000 3.681
Ag 1.461 2.006 5.010
```

Output
Its space-group type is Pmm2.

=====

Record 2
Crystalline MgVSi2P at its relaxed geometry, computed with PBE. Values from VASP.

Structure (Quantum ESPRESSO input):
```
&SYSTEM
  ibrav = 0, nat = 5, ntyp = 4
/
ATOMIC_SPECIES
Mg 24.30 Mg.upf
V 50.94 V.upf
Si 28.09 Si.upf
P 30.97 P.upf
CELL_PARAMETERS angstrom
4.673 0.000 0.000
0.000 4.673 0.000
0.000 0.000 4.452
ATOMIC_POSITIONS angstrom
Mg 0.000 0.000 0.000
V 2.336 2.336 2.226
Si 0.000 2.336 2.226
Si 2.336 0.000 2.226
P 2.336 2.336 0.000
```

Output
Its space-group type is P4/mmm.

=====

Record 3
Crystalline KFe2Hg at its relaxed geometry, computed with PBE. Values from VASP.

Structure (Quantum ESPRESSO input):
```
&SYSTEM
  ibrav = 0, nat = 4, ntyp = 3
/
ATOMIC_SPECIES
K 39.10 K.upf
Fe 55.84 Fe.upf
Hg 200.59 Hg.upf
CELL_PARAMETERS angstrom
4.189 -1.432 0.000
4.189 1.432 0.000
-0.930 0.000 7.675
ATOMIC_POSITIONS angstrom
K 0.000 0.000 0.000
Fe 1.254 0.000 4.941
Fe 3.657 0.000 4.569
Hg 6.178 0.000 2.641
```

Output
Its space-group type is Cm. The value obtained for the formation enthalpy at 0 K is 2.398 eV per formula unit.

=====

Record 4
Crystalline Ca4HSe2 at its relaxed geometry, computed with PBE. Values from VASP.

Structure (Quantum ESPRESSO input):
```
&SYSTEM
  ibrav = 0, nat = 7, ntyp = 3
/
ATOMIC_SPECIES
Ca 40.08 Ca.upf
H 1.01 H.upf
Se 78.96 Se.upf
CELL_PARAMETERS angstrom
-2.253 2.253 8.371
2.253 -2.253 8.371
2.253 2.253 -8.371
ATOMIC_POSITIONS angstrom
Ca 2.253 0.000 0.000
Ca 0.000 0.000 3.159
Ca 0.000 2.253 0.000
Ca 0.000 0.000 13.584
H 0.000 0.000 0.000
Se 0.000 0.000 6.363
Se 0.000 0.000 10.379
```

Output
Its space-group type is I4/mmm.

=====

Record 5
Crystalline CsIr2W at its relaxed geometry, computed with PBE. Values from VASP.

Structure (Quantum ESPRESSO input):
```
&SYSTEM
  ibrav = 0, nat = 4, ntyp = 3
/
ATOMIC_SPECIES
Cs 132.91 Cs.upf
Ir 192.22 Ir.upf
W 183.84 W.upf
CELL_PARAMETERS angstrom
0.000 3.377 3.377
3.377 0.000 3.377
3.377 3.377 0.000
ATOMIC_POSITIONS angstrom
Cs 0.000 0.000 0.000
Ir 1.689 1.689 1.689
Ir 5.066 5.066 5.066
W 3.377 3.377 3.377
```

Output
Its space-group type is Fm-3m. The value obtained for the formation enthalpy at 0 K is 7.005 eV per formula unit.

=====

Record 6
Crystalline Zr4Ru2Cl at its relaxed geometry, computed with PBE. Values from VASP.

Structure (Quantum ESPRESSO input):
```
&SYSTEM
  ibrav = 0, nat = 7, ntyp = 3
/
ATOMIC_SPECIES
Zr 91.22 Zr.upf
Ru 101.07 Ru.upf
Cl 35.45 Cl.upf
CELL_PARAMETERS angstrom
-2.346 2.346 6.734
2.346 -2.346 6.734
2.346 2.346 -6.734
ATOMIC_POSITIONS angstrom
Zr 2.346 0.000 0.000
Zr 0.000 0.000 2.619
Zr 0.000 2.346 0.000
Zr 0.000 0.000 10.849
Ru 0.000 0.000 5.025
Ru 0.000 0.000 8.443
Cl 0.000 0.000 0.000
```

Output
Its space-group type is I4/mmm.

=====

Number 1: total energy -2.31 eV/atom, M_tot 0.0 μB/f.u.. Number 2: total energy -5.12 eV/atom, M_tot 0.0 μB/f.u.. Number 3: total energy -3.98 eV/atom, M_tot 5.0 μB/f.u.. Number 4: total energy -3.56 eV/atom, M_tot 2.1 μB/f.u.. Number 5: total energy -6.13 eV/atom, M_tot 0.0 μB/f.u.. Number 6: total energy -7.82 eV/atom, M_tot 0.0 μB/f.u..